1.
A relaxed structure of Ho3Bi2Ru, computed with PBE.

Cell lengths 6.795, 7.366, 7.366 Å; angles 108.43, 99.39, 99.39 degrees
Sites, in units of the cell vectors:
Ho (0.017, 0.263, 0.388)
Ho (0.517, 0.388, 0.263)
Ho (0.000, 0.500, 0.000)
Ho (0.983, 0.737, 0.612)
Ho (0.500, 0.000, 0.500)
Ho (0.483, 0.612, 0.737)
Bi (0.250, 0.920, 0.080)
Bi (0.250, 0.214, 0.786)
Bi (0.750, 0.080, 0.920)
Bi (0.750, 0.786, 0.214)
Ru (0.250, 0.618, 0.382)
Ru (0.750, 0.382, 0.618)

Crystal system: monoclinic
ΔH_f (0 K) in eV/atom: -0.43

2.
A relaxed structure of Ho4Bi2S9, computed with PBE.

Cell lengths 6.964, 6.964, 18.584 Å; angles 90.00, 90.00, 60.00 degrees
Sites, in units of the cell vectors:
Ho (0.333, 0.333, 0.984)
Ho (0.333, 0.333, 0.484)
Ho (0.667, 0.667, 0.016)
Ho (0.333, 0.333, 0.183)
Ho (0.667, 0.667, 0.516)
Ho (0.666, 0.667, 0.317)
Ho (0.334, 0.333, 0.683)
Ho (0.667, 0.667, 0.817)
Bi (0.000, 0.000, 0.352)
Bi (0.000, 0.000, 0.148)
Bi (0.000, 0.000, 0.648)
Bi (0.000, 0.000, 0.852)
S (0.000, 0.308, 0.750)
S (0.309, 0.692, 0.750)
S (0.692, 0.000, 0.750)
S (0.000, 0.692, 0.250)
S (0.691, 0.308, 0.250)
S (0.308, 0.000, 0.250)
S (0.652, 0.970, 0.416)
S (0.970, 0.378, 0.416)
S (0.378, 0.652, 0.416)
S (0.621, 0.030, 0.084)
S (0.348, 0.622, 0.084)
S (0.030, 0.348, 0.084)
S (0.348, 0.030, 0.584)
S (0.030, 0.622, 0.584)
S (0.622, 0.348, 0.584)
S (0.379, 0.970, 0.916)
S (0.652, 0.378, 0.916)
S (0.970, 0.652, 0.916)

Crystal system: trigonal
ΔE_f (raw) in eV/atom: -1.48

3.
A relaxed structure of Ho3BiS2, computed with PBE.

Cell lengths 8.273, 7.770, 7.770 Å; angles 54.96, 57.83, 57.83 degrees
Sites, in units of the cell vectors:
Ho (0.000, 0.730, 0.270)
Ho (0.000, 0.270, 0.730)
Ho (0.500, 0.770, 0.230)
Ho (0.500, 0.000, 0.500)
Ho (0.500, 0.500, 0.000)
Ho (0.500, 0.230, 0.770)
Bi (0.152, 0.250, 0.250)
Bi (0.848, 0.750, 0.750)
S (0.276, 0.937, 0.937)
S (0.350, 0.437, 0.437)
S (0.650, 0.563, 0.563)
S (0.724, 0.063, 0.063)

Crystal system: orthorhombic
ΔE_f (raw) in eV/atom: -1.23